1.
Material: Cs2SiTe3
Method: DFT, PBE-GGA
State: relaxed

CIF file:
```
data_Cs2SiTe3
_cell_length_a 7.544
_cell_length_b 17.856
_cell_length_c 18.247
_cell_angle_alpha 90.00
_cell_angle_beta 90.65
_cell_angle_gamma 90.00
_space_group_name_H-M_alt 'C 1 2/c 1'
_space_group_IT_number 15
loop_
_space_group_symop_operation_xyz
'x,y,z'
'-x,-y,-z'
'-x,y,-z+1/2'
'x,-y,z+1/2'
'x+1/2,y+1/2,z'
'-x+1/2,-y+1/2,-z'
'-x+1/2,y+1/2,-z+1/2'
'x+1/2,-y+1/2,z+1/2'
loop_
_atom_site_label
_atom_site_fract_x
_atom_site_fract_y
_atom_site_fract_z
Cs1 0.190 0.184 0.350
Cs2 0.226 0.443 0.064
Si1 0.232 0.464 0.328
Te1 0.000 0.011 0.250
Te2 0.000 0.389 0.250
Te3 0.153 0.404 0.859
Te4 0.213 0.123 0.568
```

Computed properties:
VASP energy: -3.4384 eV/atom
Formation energy (no corrections): -0.68 eV/atom

=====

2.
Material: Pa4Ga5Ni2
Method: DFT, PBE-GGA
State: relaxed

CIF file:
```
data_Pa4Ga5Ni2
_cell_length_a 7.198
_cell_length_b 3.161
_cell_length_c 9.407
_cell_angle_alpha 90.00
_cell_angle_beta 93.51
_cell_angle_gamma 90.00
_space_group_name_H-M_alt 'P 1 2/m 1'
_space_group_IT_number 10
loop_
_space_group_symop_operation_xyz
'x,y,z'
'-x,-y,-z'
'-x,y,-z'
'x,-y,z'
loop_
_atom_site_label
_atom_site_fract_x
_atom_site_fract_y
_atom_site_fract_z
Pa1 0.158 0.000 0.379
Pa2 0.261 0.000 0.951
Ga1 0.206 0.500 0.668
Ga2 0.438 0.500 0.207
Ga3 0.500 0.500 0.500
Ni1 0.056 0.500 0.137
```

Computed properties:
VASP energy: -6.2447 eV/atom
Energy of formation: -0.36 eV per atom

=====

3.
Material: Rb2HgBr5
Method: DFT, PBE-GGA
State: relaxed

CIF file:
```
data_Rb2HgBr5
_cell_length_a 6.416
_cell_length_b 16.549
_cell_length_c 13.739
_cell_angle_alpha 90.00
_cell_angle_beta 90.00
_cell_angle_gamma 90.00
_space_group_name_H-M_alt 'C m c m'
_space_group_IT_number 63
_space_group_name_Hall '-C 2c 2'
loop_
_atom_site_label
_atom_site_fract_x
_atom_site_fract_y
_atom_site_fract_z
Rb1 0.000 0.168 0.095
Hg1 0.000 0.152 0.750
Br1 0.000 0.040 0.605
Br2 0.000 0.273 0.616
Br3 0.000 0.333 0.250
```

Computed properties:
VASP energy: -2.2552 eV/atom
Formation energy (no corrections): -0.93 eV/atom

=====

4.
Material: Pm12Te3Rh5
Method: DFT, PBE-GGA
State: relaxed

CIF file:
```
data_Pm12Te3Rh5
_cell_length_a 17.341
_cell_length_b 17.341
_cell_length_c 17.341
_cell_angle_alpha 90.00
_cell_angle_beta 90.00
_cell_angle_gamma 90.00
_space_group_name_H-M_alt 'I a -3 d'
_space_group_IT_number 230
_space_group_name_Hall '-I 4bd 2c 3'
loop_
_atom_site_label
_atom_site_fract_x
_atom_site_fract_y
_atom_site_fract_z
Pm1 0.028 0.059 0.646
Te1 0.000 0.250 0.125
Rh1 0.000 0.000 0.000
Rh2 0.000 0.250 0.375
```

Computed properties:
VASP energy: -5.6430 eV/atom
Formation energy (no corrections): -0.48 eV/atom